(1)
A geometry-optimized In2BrNF structure. Source: the Alexandria database, functional PBE-GGA.

Cell: 5.168 5.168 5.038 Å, 90.00 90.00 90.00°
Fractional positions:
In (0.000, 0.500, 0.000)
In (0.500, 0.000, 0.000)
Br (0.000, 0.000, 0.500)
N (0.500, 0.500, 0.500)
F (0.500, 0.500, 0.000)

Calculated values
ΔE_f (raw), eV per atom: 0.22
Magnetic moment, μB per formula unit: 3.00
Crystal system: tetragonal

(2)
A geometry-optimized InBrNF2 structure. Source: the Alexandria database, functional PBE-GGA.

Cell: 4.863 4.863 3.752 Å, 90.00 90.00 90.00°
Fractional positions:
In (0.000, 0.000, 0.000)
Br (0.500, 0.500, 0.500)
N (0.500, 0.500, 0.000)
F (0.000, 0.500, 0.500)
F (0.500, 0.000, 0.500)

Calculated values
ΔE_f (raw), eV per atom: 0.09
Magnetic moment, μB per formula unit: 0.00
Energy above the most stable polymorph in this dataset, meV/atom: 540
Crystal system: tetragonal

(3)
A geometry-optimized InBrNF2 structure. Source: the Alexandria database, functional PBE-GGA.

Cell: 4.185 4.185 4.705 Å, 90.00 90.00 90.00°
Fractional positions:
In (0.000, 0.000, 0.000)
Br (0.500, 0.500, 0.500)
N (0.000, 0.000, 0.500)
F (0.000, 0.500, 0.000)
F (0.500, 0.000, 0.000)

Calculated values
ΔE_f (raw), eV per atom: -0.45
Magnetic moment, μB per formula unit: 0.98
Energy above the most stable polymorph in this dataset, meV/atom: 0
Crystal system: tetragonal

(4)
A geometry-optimized NaInBrF structure. Source: the Alexandria database, functional PBE-GGA.

Cell: 10.762 10.762 10.762 Å, 27.49 27.49 27.49°
Fractional positions:
Na (0.133, 0.133, 0.133)
Na (0.867, 0.867, 0.867)
In (0.277, 0.277, 0.277)
In (0.723, 0.723, 0.723)
Br (0.421, 0.421, 0.421)
Br (0.579, 0.579, 0.579)
F (0.203, 0.203, 0.203)
F (0.797, 0.797, 0.797)

Calculated values
ΔE_f (raw), eV per atom: -1.51
Magnetic moment, μB per formula unit: 0.00
Crystal system: trigonal